--- 1 ---
Compound: GeBPt3
Source: Alexandria via LeMat-Bulk
Functional: GGA-PBE
Structure: optimized geometry

Cell and atoms, written as CIF:
```
data_GeBPt3
_cell_length_a 4.664
_cell_length_b 4.664
_cell_length_c 4.664
_cell_angle_alpha 90.00
_cell_angle_beta 90.00
_cell_angle_gamma 90.00
_space_group_name_H-M_alt 'P 1'
_space_group_IT_number 1
loop_
_space_group_symop_operation_xyz
'x,y,z'
loop_
_atom_site_label
_atom_site_type_symbol
_atom_site_fract_x
_atom_site_fract_y
_atom_site_fract_z
_atom_site_occupancy
Pt1 Pt 0.000 0.500 0.000 1
Ge1 Ge 0.000 0.000 0.000 1
B1 B 0.500 0.500 0.500 1
Pt2 Pt 0.500 0.000 0.000 1
Pt3 Pt 0.000 0.000 0.500 1
```



--- 2 ---
Compound: GeBPt3
Source: Alexandria via LeMat-Bulk
Functional: GGA-PBE
Structure: optimized geometry

Cell and atoms, written as CIF:
```
data_GeBPt3
_cell_length_a 5.503
_cell_length_b 8.723
_cell_length_c 7.887
_cell_angle_alpha 120.50
_cell_angle_beta 90.00
_cell_angle_gamma 90.00
_space_group_name_H-M_alt 'P 1'
_space_group_IT_number 1
loop_
_space_group_symop_operation_xyz
'x,y,z'
loop_
_atom_site_label
_atom_site_type_symbol
_atom_site_fract_x
_atom_site_fract_y
_atom_site_fract_z
_atom_site_occupancy
Ge1 Ge 0.729 0.589 0.131 1
Pt1 Pt 0.612 0.043 0.179 1
Ge2 Ge 0.271 0.411 0.869 1
Pt2 Pt 0.017 0.686 0.944 1
Pt3 Pt 0.483 0.686 0.444 1
B1 B 0.276 0.909 0.052 1
B2 B 0.224 0.909 0.552 1
Pt4 Pt 0.488 0.318 0.076 1
Pt5 Pt 0.517 0.314 0.556 1
Pt6 Pt 0.988 0.682 0.424 1
Ge3 Ge 0.229 0.411 0.369 1
Pt7 Pt 0.983 0.314 0.056 1
B3 B 0.776 0.091 0.448 1
Ge4 Ge 0.771 0.589 0.631 1
Pt8 Pt 0.512 0.682 0.924 1
Pt9 Pt 0.888 0.043 0.679 1
Pt10 Pt 0.012 0.318 0.576 1
B4 B 0.724 0.091 0.948 1
Pt11 Pt 0.112 0.957 0.321 1
Pt12 Pt 0.388 0.957 0.821 1
```



Short version: 2 is the most stable of them.



--- 1 ---
Compound: Ge3BPt
Source: Alexandria via LeMat-Bulk
Functional: GGA-PBE
Structure: optimized geometry

Cell and atoms, written as CIF:
```
data_Ge3BPt
_cell_length_a 4.312
_cell_length_b 4.312
_cell_length_c 4.312
_cell_angle_alpha 90.00
_cell_angle_beta 90.00
_cell_angle_gamma 90.00
_space_group_name_H-M_alt 'P 1'
_space_group_IT_number 1
loop_
_space_group_symop_operation_xyz
'x,y,z'
loop_
_atom_site_label
_atom_site_type_symbol
_atom_site_fract_x
_atom_site_fract_y
_atom_site_fract_z
_atom_site_occupancy
Ge1 Ge 0.000 0.000 0.500 1
Pt1 Pt 0.500 0.500 0.500 1
B1 B 0.000 0.000 0.000 1
Ge2 Ge 0.500 0.000 0.000 1
Ge3 Ge 0.000 0.500 0.000 1
```



--- 2 ---
Compound: Ge3BPt
Source: Alexandria via LeMat-Bulk
Functional: GGA-PBE
Structure: optimized geometry

Cell and atoms, written as CIF:
```
data_Ge3BPt
_cell_length_a 4.861
_cell_length_b 4.861
_cell_length_c 4.861
_cell_angle_alpha 90.00
_cell_angle_beta 90.00
_cell_angle_gamma 90.00
_space_group_name_H-M_alt 'P 1'
_space_group_IT_number 1
loop_
_space_group_symop_operation_xyz
'x,y,z'
loop_
_atom_site_label
_atom_site_type_symbol
_atom_site_fract_x
_atom_site_fract_y
_atom_site_fract_z
_atom_site_occupancy
Ge1 Ge 0.000 0.000 0.500 1
Pt1 Pt 0.000 0.000 0.000 1
B1 B 0.500 0.500 0.500 1
Ge2 Ge 0.500 0.000 0.000 1
Ge3 Ge 0.000 0.500 0.000 1
```



Short version: 1 is the most stable of them.



--- 1 ---
Compound: RbGe3B
Source: Alexandria via LeMat-Bulk
Functional: GGA-PBE
Structure: optimized geometry

Cell and atoms, written as CIF:
```
data_RbGe3B
_cell_length_a 5.694
_cell_length_b 5.694
_cell_length_c 5.694
_cell_angle_alpha 90.00
_cell_angle_beta 90.00
_cell_angle_gamma 90.00
_space_group_name_H-M_alt 'P 1'
_space_group_IT_number 1
loop_
_space_group_symop_operation_xyz
'x,y,z'
loop_
_atom_site_label
_atom_site_type_symbol
_atom_site_fract_x
_atom_site_fract_y
_atom_site_fract_z
_atom_site_occupancy
Rb1 Rb 0.000 0.000 0.000 1
Ge1 Ge 0.000 0.000 0.500 1
B1 B 0.500 0.500 0.500 1
Ge2 Ge 0.500 0.000 0.000 1
Ge3 Ge 0.000 0.500 0.000 1
```



--- 2 ---
Compound: RbGe3B
Source: Alexandria via LeMat-Bulk
Functional: GGA-PBE
Structure: optimized geometry

Cell and atoms, written as CIF:
```
data_RbGe3B
_cell_length_a 4.755
_cell_length_b 4.755
_cell_length_c 4.755
_cell_angle_alpha 90.00
_cell_angle_beta 90.00
_cell_angle_gamma 90.00
_space_group_name_H-M_alt 'P 1'
_space_group_IT_number 1
loop_
_space_group_symop_operation_xyz
'x,y,z'
loop_
_atom_site_label
_atom_site_type_symbol
_atom_site_fract_x
_atom_site_fract_y
_atom_site_fract_z
_atom_site_occupancy
Ge1 Ge 0.000 0.000 0.500 1
B1 B 0.000 0.000 0.000 1
Ge2 Ge 0.500 0.000 0.000 1
Rb1 Rb 0.500 0.500 0.500 1
Ge3 Ge 0.000 0.500 0.000 1
```



Short version: 2 is the most stable of them.



--- 1 ---
Compound: Re2GeB
Source: Alexandria via LeMat-Bulk
Functional: GGA-PBE
Structure: optimized geometry

Cell and atoms, written as CIF:
```
data_Re2GeB
_cell_length_a 3.068
_cell_length_b 3.068
_cell_length_c 7.463
_cell_angle_alpha 78.14
_cell_angle_beta 78.14
_cell_angle_gamma 60.00
_space_group_name_H-M_alt 'P 1'
_space_group_IT_number 1
loop_
_space_group_symop_operation_xyz
'x,y,z'
loop_
_atom_site_label
_atom_site_type_symbol
_atom_site_fract_x
_atom_site_fract_y
_atom_site_fract_z
_atom_site_occupancy
Ge1 Ge 0.000 0.000 0.000 1
Re1 Re 0.112 0.112 0.663 1
B1 B 0.500 0.500 0.500 1
Re2 Re 0.888 0.888 0.337 1
```



--- 2 ---
Compound: Re2GeB
Source: Alexandria via LeMat-Bulk
Functional: GGA-PBE
Structure: optimized geometry

Cell and atoms, written as CIF:
```
data_Re2GeB
_cell_length_a 3.955
_cell_length_b 3.955
_cell_length_c 8.415
_cell_angle_alpha 76.41
_cell_angle_beta 76.41
_cell_angle_gamma 90.00
_space_group_name_H-M_alt 'P 1'
_space_group_IT_number 1
loop_
_space_group_symop_operation_xyz
'x,y,z'
loop_
_atom_site_label
_atom_site_type_symbol
_atom_site_fract_x
_atom_site_fract_y
_atom_site_fract_z
_atom_site_occupancy
Re1 Re 0.201 0.625 0.250 1
Ge1 Ge 0.750 0.250 0.500 1
Ge2 Ge 0.000 0.000 0.000 1
Re2 Re 0.375 0.451 0.750 1
B1 B 0.500 0.500 0.000 1
Re3 Re 0.549 0.125 0.250 1
B2 B 0.250 0.750 0.500 1
Re4 Re 0.875 0.799 0.750 1
```



Short version: 1 is the most stable of them.



--- 1 ---
Compound: ReGeB3
Source: Alexandria via LeMat-Bulk
Functional: GGA-PBE
Structure: optimized geometry

Cell and atoms, written as CIF:
```
data_ReGeB3
_cell_length_a 3.957
_cell_length_b 3.957
_cell_length_c 3.957
_cell_angle_alpha 90.00
_cell_angle_beta 90.00
_cell_angle_gamma 90.00
_space_group_name_H-M_alt 'P 1'
_space_group_IT_number 1
loop_
_space_group_symop_operation_xyz
'x,y,z'
loop_
_atom_site_label
_atom_site_type_symbol
_atom_site_fract_x
_atom_site_fract_y
_atom_site_fract_z
_atom_site_occupancy
Ge1 Ge 0.000 0.000 0.000 1
Re1 Re 0.500 0.500 0.500 1
B1 B 0.000 0.500 0.000 1
B2 B 0.500 0.000 0.000 1
B3 B 0.000 0.000 0.500 1
```



--- 2 ---
Compound: ReGeB3
Source: Alexandria via LeMat-Bulk
Functional: GGA-PBE
Structure: optimized geometry

Cell and atoms, written as CIF:
```
data_ReGeB3
_cell_length_a 4.161
_cell_length_b 4.161
_cell_length_c 4.161
_cell_angle_alpha 90.00
_cell_angle_beta 90.00
_cell_angle_gamma 90.00
_space_group_name_H-M_alt 'P 1'
_space_group_IT_number 1
loop_
_space_group_symop_operation_xyz
'x,y,z'
loop_
_atom_site_label
_atom_site_type_symbol
_atom_site_fract_x
_atom_site_fract_y
_atom_site_fract_z
_atom_site_occupancy
B1 B 0.000 0.500 0.000 1
Re1 Re 0.000 0.000 0.000 1
B2 B 0.500 0.000 0.000 1
Ge1 Ge 0.500 0.500 0.500 1
B3 B 0.000 0.000 0.500 1
```



Short version: 2 is the most stable of them.



--- 1 ---
Compound: Re2Ge2B
Source: Alexandria via LeMat-Bulk
Functional: GGA-PBE
Structure: optimized geometry

Cell and atoms, written as CIF:
```
data_Re2Ge2B
_cell_length_a 3.339
_cell_length_b 3.339
_cell_length_c 6.899
_cell_angle_alpha 76.00
_cell_angle_beta 76.00
_cell_angle_gamma 90.00
_space_group_name_H-M_alt 'P 1'
_space_group_IT_number 1
loop_
_space_group_symop_operation_xyz
'x,y,z'
loop_
_atom_site_label
_atom_site_type_symbol
_atom_site_fract_x
_atom_site_fract_y
_atom_site_fract_z
_atom_site_occupancy
Re1 Re 0.598 0.598 0.803 1
Ge1 Ge 0.750 0.250 0.500 1
Re2 Re 0.402 0.402 0.197 1
Ge2 Ge 0.250 0.750 0.500 1
B1 B 0.000 0.000 0.000 1
```



--- 2 ---
Compound: Re2Ge2B
Source: Alexandria via LeMat-Bulk
Functional: GGA-PBE
Structure: optimized geometry

Cell and atoms, written as CIF:
```
data_Re2Ge2B
_cell_length_a 5.952
_cell_length_b 5.952
_cell_length_c 4.020
_cell_angle_alpha 90.00
_cell_angle_beta 90.00
_cell_angle_gamma 90.00
_space_group_name_H-M_alt 'P 1'
_space_group_IT_number 1
loop_
_space_group_symop_operation_xyz
'x,y,z'
loop_
_atom_site_label
_atom_site_type_symbol
_atom_site_fract_x
_atom_site_fract_y
_atom_site_fract_z
_atom_site_occupancy
B1 B 0.000 0.000 0.000 1
Re1 Re 0.835 0.665 0.000 1
Re2 Re 0.665 0.165 0.000 1
B2 B 0.500 0.500 0.000 1
Re3 Re 0.335 0.835 0.000 1
Ge1 Ge 0.845 0.345 0.500 1
Ge2 Ge 0.155 0.655 0.500 1
Ge3 Ge 0.655 0.845 0.500 1
Ge4 Ge 0.345 0.155 0.500 1
Re4 Re 0.165 0.335 0.000 1
```



Short version: 2 is the most stable of them.



--- 1 ---
Compound: ReGe2BSe
Source: Alexandria via LeMat-Bulk
Functional: GGA-PBE
Structure: optimized geometry

Cell and atoms, written as CIF:
```
data_ReGe2BSe
_cell_length_a 5.167
_cell_length_b 4.563
_cell_length_c 5.167
_cell_angle_alpha 90.00
_cell_angle_beta 90.00
_cell_angle_gamma 90.00
_space_group_name_H-M_alt 'P 1'
_space_group_IT_number 1
loop_
_space_group_symop_operation_xyz
'x,y,z'
loop_
_atom_site_label
_atom_site_type_symbol
_atom_site_fract_x
_atom_site_fract_y
_atom_site_fract_z
_atom_site_occupancy
Ge1 Ge 0.500 0.000 0.000 1
Ge2 Ge 0.000 0.000 0.500 1
B1 B 0.500 0.500 0.500 1
Re1 Re 0.000 0.500 0.000 1
Se1 Se 0.000 0.000 0.000 1
```



--- 2 ---
Compound: ReGe2BSe
Source: Alexandria via LeMat-Bulk
Functional: GGA-PBE
Structure: optimized geometry

Cell and atoms, written as CIF:
```
data_ReGe2BSe
_cell_length_a 4.181
_cell_length_b 4.649
_cell_length_c 4.181
_cell_angle_alpha 90.00
_cell_angle_beta 90.00
_cell_angle_gamma 90.00
_space_group_name_H-M_alt 'P 1'
_space_group_IT_number 1
loop_
_space_group_symop_operation_xyz
'x,y,z'
loop_
_atom_site_label
_atom_site_type_symbol
_atom_site_fract_x
_atom_site_fract_y
_atom_site_fract_z
_atom_site_occupancy
B1 B 0.000 0.000 0.000 1
Re1 Re 0.500 0.500 0.500 1
Ge1 Ge 0.500 0.000 0.000 1
Ge2 Ge 0.000 0.000 0.500 1
Se1 Se 0.000 0.500 0.000 1
```



Short version: 2 is the most stable of them.



--- 1 ---
Compound: Ge3BRu
Source: Alexandria via LeMat-Bulk
Functional: GGA-PBE
Structure: optimized geometry

Cell and atoms, written as CIF:
```
data_Ge3BRu
_cell_length_a 4.272
_cell_length_b 4.272
_cell_length_c 4.272
_cell_angle_alpha 90.00
_cell_angle_beta 90.00
_cell_angle_gamma 90.00
_space_group_name_H-M_alt 'P 1'
_space_group_IT_number 1
loop_
_space_group_symop_operation_xyz
'x,y,z'
loop_
_atom_site_label
_atom_site_type_symbol
_atom_site_fract_x
_atom_site_fract_y
_atom_site_fract_z
_atom_site_occupancy
Ge1 Ge 0.000 0.500 0.000 1
Ge2 Ge 0.500 0.000 0.000 1
B1 B 0.000 0.000 0.000 1
Ge3 Ge 0.000 0.000 0.500 1
Ru1 Ru 0.500 0.500 0.500 1
```



--- 2 ---
Compound: Ge3BRu
Source: Alexandria via LeMat-Bulk
Functional: GGA-PBE
Structure: optimized geometry

Cell and atoms, written as CIF:
```
data_Ge3BRu
_cell_length_a 4.769
_cell_length_b 4.769
_cell_length_c 4.769
_cell_angle_alpha 90.00
_cell_angle_beta 90.00
_cell_angle_gamma 90.00
_space_group_name_H-M_alt 'P 1'
_space_group_IT_number 1
loop_
_space_group_symop_operation_xyz
'x,y,z'
loop_
_atom_site_label
_atom_site_type_symbol
_atom_site_fract_x
_atom_site_fract_y
_atom_site_fract_z
_atom_site_occupancy
Ge1 Ge 0.000 0.000 0.500 1
Ge2 Ge 0.500 0.000 0.000 1
Ge3 Ge 0.000 0.500 0.000 1
B1 B 0.500 0.500 0.500 1
Ru1 Ru 0.000 0.000 0.000 1
```



Short version: 1 is the most stable of them.